Entry from the Alexandria database: a relaxed NaRePt crystal (PBE).

Cell: 6.635 6.635 2.740 Å, 98.27 98.27 62.56°
Fractional coordinates of all 6 atoms:
Na 0.103 0.103 0.377
Na 0.897 0.897 0.623
Re 0.397 0.397 0.576
Re 0.603 0.603 0.424
Pt 0.000 0.500 0.000
Pt 0.500 0.000 0.000

Formation energy = 0.65 eV/f.u.
Energy relative to the lowest polymorph listed for this composition = 0.2443 eV per atom

Entry from the Alexandria database: a relaxed NaRePt crystal (PBE).

Cell: 3.730 3.730 8.352 Å, 90.00 90.00 90.00°
Fractional coordinates of all 6 atoms:
Na 0.250 0.250 0.121
Na 0.750 0.750 0.879
Re 0.250 0.750 0.500
Re 0.750 0.250 0.500
Pt 0.250 0.250 0.729
Pt 0.750 0.750 0.271

Formation energy = 1.13 eV/f.u.
Energy relative to the lowest polymorph listed for this composition = 0.4052 eV per atom

Entry from the Alexandria database: a relaxed NaRePt crystal (PBE).

Cell: 3.728 4.619 6.296 Å, 90.00 101.72 90.00°
Fractional coordinates of all 6 atoms:
Na 0.000 0.000 0.000
Na 0.245 0.000 0.675
Re 0.088 0.500 0.315
Re 0.660 0.500 0.561
Pt 0.561 0.500 0.957
Pt 0.621 0.000 0.343

Formation energy = 1.05 eV/f.u.
Energy relative to the lowest polymorph listed for this composition = 0.3794 eV per atom

Entry from the Alexandria database: a relaxed NaRePt crystal (PBE).

Cell: 2.827 2.827 13.518 Å, 90.12 90.12 90.00°
Fractional coordinates of all 6 atoms:
Na 0.246 0.246 0.123
Na 0.754 0.754 0.877
Re 0.247 0.250 0.433
Re 0.750 0.753 0.567
Pt 0.251 0.253 0.708
Pt 0.747 0.749 0.292

Formation energy = -0.09 eV/f.u.
Energy relative to the lowest polymorph listed for this composition = 0.0000 eV per atom